Entry 1:
This record from Alexandria via LeMat-Bulk describes a geometry-optimized Zr7Fe structure. The functional is PBE-GGA.

a = 6.282 Å, b = 6.282 Å, c = 6.282 Å
α = 60.00°, β = 60.00°, γ = 60.00°
Site moments in Bohr magnetons follow the coordinates.
Fractional positions:
Zr1 0.000 0.000 0.500  -0.03
Zr2 0.500 0.000 0.000  -0.03
Zr3 0.500 0.000 0.500  -0.03
Fe1 0.000 0.000 0.000  2.70
Zr4 0.000 0.500 0.000  -0.03
Zr5 0.500 0.500 0.500  0.09
Zr6 0.500 0.500 0.000  -0.03
Zr7 0.000 0.500 0.500  -0.03

The value obtained for the volume is 21.9 A^3/atom. Its space-group type is Fm-3m (225). The energy of formation from the pure elements comes out at 0.153 eV/atom.

=====

Entry 2:
This record from Alexandria via LeMat-Bulk describes a geometry-optimized Zr4Fe structure. The functional is PBE-GGA.

a = 6.239 Å, b = 5.215 Å, c = 8.440 Å
α = 77.83°, β = 68.31°, γ = 55.21°
Fractional positions:
Zr1 0.584 0.732 0.387
Zr2 0.219 0.165 0.149
Fe1 0.945 0.750 0.111
Fe2 0.055 0.250 0.889
Zr3 0.416 0.268 0.613
Zr4 0.781 0.835 0.851
Zr5 0.632 0.335 0.149
Zr6 0.971 0.232 0.613
Zr7 0.029 0.768 0.387
Zr8 0.368 0.665 0.851

The value obtained for the volume is 21.0 A^3/atom. The value obtained for the excess energy over the best structure of this formula in the dataset is 112 meV/atom. Its space-group type is C2/c (15). The energy of formation from the pure elements comes out at 0.067 eV/atom.

=====

Entry 3:
This record from Alexandria via LeMat-Bulk describes a geometry-optimized ZrFe structure. The functional is PBE-GGA.

a = 6.539 Å, b = 8.422 Å, c = 10.033 Å
α = 90.00°, β = 90.00°, γ = 90.00°
Site moments in Bohr magnetons follow the coordinates.
Fractional positions:
Zr1 0.250 0.950 0.250  -0.27
Zr2 0.750 0.550 0.750  -0.27
Fe1 0.327 0.500 0.500  1.21
Zr3 0.000 0.800 0.000  -0.27
Fe2 0.673 0.500 0.500  1.21
Zr4 0.000 0.700 0.500  -0.27
Fe3 0.423 0.750 0.750  1.21
Zr5 0.500 0.300 0.000  -0.27
Fe4 0.173 0.000 0.500  1.21
Zr6 0.750 0.450 0.250  -0.27
Zr7 0.750 0.950 0.750  -0.27
Fe5 0.577 0.750 0.250  1.21
Zr8 0.250 0.550 0.250  -0.27
Fe6 0.577 0.250 0.750  1.21
Fe7 0.423 0.250 0.250  1.21
Zr9 0.500 0.700 0.000  -0.27
Fe8 0.077 0.250 0.250  1.21
Fe9 0.827 0.500 0.000  1.21
Fe10 0.923 0.250 0.750  1.21
Fe11 0.923 0.750 0.250  1.21
Fe12 0.173 0.500 0.000  1.21
Fe13 0.673 0.000 0.000  1.21
Zr10 0.000 0.300 0.500  -0.27
Fe14 0.327 0.000 0.000  1.21
Zr11 0.750 0.050 0.250  -0.27
Zr12 0.000 0.200 0.000  -0.27
Fe15 0.827 0.000 0.500  1.21
Zr13 0.500 0.800 0.500  -0.27
Zr14 0.250 0.450 0.750  -0.27
Fe16 0.077 0.750 0.750  1.21
Zr15 0.500 0.200 0.500  -0.27
Zr16 0.250 0.050 0.750  -0.27

The value obtained for the volume is 17.3 A^3/atom. Its space-group type is Fddd (70). The energy of formation from the pure elements comes out at 0.123 eV/atom.

=====

What did we get for N(E_F)? Answer: 1.534, 1.229, 1.498 states/eV/atom, in the order shown.